Material: SrS
Method: DFT, GGA-PBE
State: optimized geometry

## Properties
SG = I4_1md
Total magnetization = 0.00 μB per formula unit
VASP energy = -19.4 eV/cell

Cell and atoms, written as POSCAR:
```
SrS
1.0
-1.956 1.956 7.268
1.956 -1.956 7.268
1.956 1.956 -7.268
Sr S
2 2
direct
0.000 0.000 0.000
0.750 0.250 0.500
0.337 0.837 0.500
0.587 0.587 0.000
```

=====

Material: LiTa3Ge
Method: DFT, GGA-PBE
State: optimized geometry

## Properties
Formation energy from the elements = 4.9 eV/f.u.
SG = Pm-3m
Total magnetization = 0.00 μB per formula unit
VASP energy = -37.2 eV/cell

Cell and atoms, written as POSCAR:
```
LiTa3Ge
1.0
4.387 0.000 0.000
0.000 4.387 0.000
0.000 0.000 4.387
Li Ta Ge
1 3 1
direct
0.000 0.000 0.000
0.000 0.000 0.500
0.000 0.500 0.000
0.500 0.000 0.000
0.500 0.500 0.500
```

=====

Material: Rb2LiCrCl6
Method: DFT, GGA-PBE
State: optimized geometry

## Properties
SG = P-3m1
Total magnetization = 3.00 μB per formula unit
VASP energy = -41.0 eV/cell

Cell and atoms, written as POSCAR:
```
Rb2LiCrCl6
1.0
7.129 0.000 0.000
-3.564 6.174 0.000
0.000 0.000 6.119
Rb Li Cr Cl
2 1 1 6
direct
0.333 0.667 0.279
0.667 0.333 0.721
0.000 0.000 0.000
0.000 0.000 0.500
0.155 0.310 0.728
0.155 0.845 0.728
0.310 0.155 0.272
0.690 0.845 0.728
0.845 0.155 0.272
0.845 0.690 0.272
```

=====

Material: PmY2S
Method: DFT, GGA-PBE
State: optimized geometry

## Properties
SG = P-3m1
Total magnetization = 0.00 μB per formula unit
VASP energy = -25.6 eV/cell

Cell and atoms, written as POSCAR:
```
PmY2S
1.0
3.745 0.000 0.000
-1.873 3.244 0.000
0.000 0.000 9.391
Pm Y S
1 2 1
direct
0.000 0.000 0.000
0.333 0.667 0.678
0.667 0.333 0.322
0.000 0.000 0.500
```

=====

Material: Ca2PRu
Method: DFT, GGA-PBE
State: optimized geometry

## Properties
Formation energy from the elements = 0.6 eV/f.u.
SG = I-42d
Total magnetization = 0.00 μB per formula unit
VASP energy = -36.2 eV/cell

Cell and atoms, written as POSCAR:
```
Ca2PRu
1.0
-3.912 3.912 2.687
3.912 -3.912 2.687
3.912 3.912 -2.687
Ca P Ru
4 2 2
direct
0.108 0.125 0.483
0.375 0.892 0.017
0.642 0.625 0.517
0.875 0.358 0.983
0.250 0.750 0.500
0.500 0.500 0.000
0.000 0.000 0.000
0.750 0.250 0.500
```

=====

Material: KAlSb2I
Method: DFT, GGA-PBE
State: optimized geometry

## Properties
SG = P4/mmm
Total magnetization = 0.00 μB per formula unit
VASP energy = -15.0 eV/cell

Cell and atoms, written as POSCAR:
```
KAlSb2I
1.0
5.294 0.000 0.000
0.000 5.294 0.000
0.000 0.000 6.599
K Al Sb I
1 1 2 1
direct
0.000 0.000 0.000
0.500 0.500 0.500
0.000 0.500 0.500
0.500 0.000 0.500
0.500 0.500 0.000
```

=====

Material: K4NpIr3S8
Method: DFT, GGA-PBE
State: optimized geometry

## Properties
SG = R-3m
Total magnetization = 3.85 μB per formula unit
VASP energy = -89.7 eV/cell

Cell and atoms, written as POSCAR:
```
K4NpIr3S8
1.0
3.741 2.160 7.199
-3.741 2.160 7.199
0.000 -4.320 7.199
K Np Ir S
4 1 3 8
direct
0.000 0.000 0.000
0.000 0.500 0.500
0.500 0.000 0.500
0.500 0.500 0.000
0.500 0.500 0.500
0.000 0.000 0.500
0.000 0.500 0.000
0.500 0.000 0.000
0.199 0.743 0.743
0.219 0.219 0.219
0.257 0.257 0.801
0.257 0.801 0.257
0.743 0.199 0.743
0.743 0.743 0.199
0.781 0.781 0.781
0.801 0.257 0.257
```

=====

Material: Cr2InBS
Method: DFT, GGA-PBE
State: optimized geometry

## Properties
SG = P4/mmm
Total magnetization = 0.00 μB per formula unit
VASP energy = -28.8 eV/cell

Cell and atoms, written as POSCAR:
```
Cr2InBS
1.0
4.095 0.000 0.000
0.000 4.095 0.000
0.000 0.000 4.345
Cr In B S
2 1 1 1
direct
0.000 0.500 0.000
0.500 0.000 0.000
0.000 0.000 0.500
0.000 0.000 0.000
0.500 0.500 0.500
```

=====

Material: CeHoTl2
Method: DFT, GGA-PBE
State: optimized geometry

## Properties
Formation energy from the elements = -0.7 eV/f.u.
SG = R-3m
Total magnetization = 1.16 μB per formula unit
VASP energy = -15.9 eV/cell

Cell and atoms, written as POSCAR:
```
CeHoTl2
1.0
1.843 1.064 10.102
-1.843 1.064 10.102
0.000 -2.128 10.102
Ce Ho Tl
1 1 2
direct
0.000 0.000 0.000
0.500 0.500 0.500
0.247 0.247 0.247
0.753 0.753 0.753
```

=====

Material: CsSbCl6
Method: DFT, GGA-PBE
State: optimized geometry

## Properties
SG = Cc
Total magnetization = 0.00 μB per formula unit
VASP energy = -49.5 eV/cell

Cell and atoms, written as POSCAR:
```
CsSbCl6
1.0
6.324 -3.477 0.000
6.324 3.477 0.000
-2.963 0.000 12.484
Cs Sb Cl
2 2 12
direct
0.122 0.878 0.500
0.878 0.122 0.000
0.001 0.500 0.750
0.500 0.001 0.250
0.124 0.193 0.291
0.193 0.124 0.791
0.201 0.376 0.596
0.285 0.556 0.860
0.376 0.201 0.096
0.444 0.716 0.139
0.556 0.285 0.360
0.624 0.800 0.404
0.716 0.444 0.639
0.800 0.624 0.904
0.809 0.876 0.709
0.876 0.809 0.209
```

=====

Material: AlCo3Pt
Method: DFT, GGA-PBE
State: optimized geometry

## Properties
Formation energy from the elements = 4.8 eV/f.u.
SG = Pm-3m
Total magnetization = 4.15 μB per formula unit
VASP energy = -26.3 eV/cell

Cell and atoms, written as POSCAR:
```
AlCo3Pt
1.0
4.186 0.000 0.000
0.000 4.186 0.000
0.000 0.000 4.186
Al Co Pt
1 3 1
direct
0.000 0.000 0.000
0.000 0.000 0.500
0.000 0.500 0.000
0.500 0.000 0.000
0.500 0.500 0.500
```

=====

Material: Ac4In2Hg5
Method: DFT, GGA-PBE
State: optimized geometry

## Properties
Formation energy from the elements = -4.6 eV/f.u.
SG = P2/m
Total magnetization = 0.00 μB per formula unit
VASP energy = -28.0 eV/cell

Cell and atoms, written as POSCAR:
```
Ac4In2Hg5
1.0
8.863 0.000 0.000
0.000 3.949 0.000
-1.001 0.000 10.010
Ac In Hg
4 2 5
direct
0.228 0.000 0.340
0.268 0.000 0.867
0.732 0.000 0.133
0.772 0.000 0.660
0.417 0.500 0.614
0.583 0.500 0.386
0.000 0.500 0.000
0.086 0.500 0.631
0.397 0.500 0.123
0.603 0.500 0.877
0.914 0.500 0.369
```

=====

Material: Tl8TeSe2
Method: DFT, GGA-PBE
State: optimized geometry

## Properties
SG = C2/m
Total magnetization = 0.00 μB per formula unit
VASP energy = -31.2 eV/cell

Cell and atoms, written as POSCAR:
```
Tl8TeSe2
1.0
4.605 -6.508 0.000
4.605 6.508 0.000
-2.023 0.000 6.215
Tl Te Se
8 1 2
direct
0.073 0.327 0.647
0.248 0.752 0.000
0.327 0.073 0.647
0.374 0.374 0.183
0.626 0.626 0.817
0.673 0.927 0.353
0.752 0.248 0.000
0.927 0.673 0.353
0.000 0.000 0.000
0.318 0.682 0.500
0.682 0.318 0.500
```

=====

Material: UCrAgS4
Method: DFT, GGA-PBE
State: optimized geometry

## Properties
SG = Imma
Total magnetization = 5.01 μB per formula unit
VASP energy = -92.6 eV/cell

Cell and atoms, written as POSCAR:
```
UCrAgS4
1.0
-3.731 4.051 4.961
3.731 -4.051 4.961
3.731 4.051 -4.961
U Cr Ag S
2 2 2 8
direct
0.000 0.000 0.000
0.500 0.000 0.500
0.500 0.000 0.000
0.500 0.500 0.500
0.075 0.325 0.750
0.925 0.675 0.250
0.252 0.237 0.485
0.252 0.767 0.015
0.289 0.737 0.552
0.315 0.263 0.052
0.685 0.737 0.948
0.711 0.263 0.448
0.748 0.233 0.985
0.748 0.763 0.515
```

=====

Material: RbGeBr2F
Method: DFT, GGA-PBE
State: optimized geometry

## Properties
SG = P4/mmm
Total magnetization = 0.00 μB per formula unit
VASP energy = -18.2 eV/cell

Cell and atoms, written as POSCAR:
```
RbGeBr2F
1.0
5.716 0.000 0.000
0.000 5.716 0.000
0.000 0.000 4.347
Rb Ge Br F
1 1 2 1
direct
0.000 0.000 0.000
0.500 0.500 0.500
0.000 0.500 0.500
0.500 0.000 0.500
0.500 0.500 0.000
```

=====

Material: La2CeEu
Method: DFT, GGA-PBE
State: optimized geometry

## Properties
Formation energy from the elements = 1.0 eV/f.u.
SG = Fm-3m
Total magnetization = 4.94 μB per formula unit
VASP energy = -25.1 eV/cell

Cell and atoms, written as POSCAR:
```
La2CeEu
1.0
0.000 4.204 4.204
4.204 0.000 4.204
4.204 4.204 0.000
La Ce Eu
2 1 1
direct
0.250 0.250 0.250
0.750 0.750 0.750
0.000 0.000 0.000
0.500 0.500 0.500
```

=====

Material: NaRhF2
Method: DFT, GGA-PBE
State: optimized geometry

## Properties
SG = R-3m
Total magnetization = 0.53 μB per formula unit
VASP energy = -18.9 eV/cell

Cell and atoms, written as POSCAR:
```
NaRhF2
1.0
1.465 0.846 6.829
-1.465 0.846 6.829
0.000 -1.692 6.829
Na Rh F
1 1 2
direct
0.000 0.000 0.000
0.500 0.500 0.500
0.402 0.402 0.402
0.598 0.598 0.598
```

=====

Material: ZrBeOs2
Method: DFT, GGA-PBE
State: optimized geometry

## Properties
Formation energy from the elements = 1.2 eV/f.u.
SG = I-42d
Total magnetization = 0.00 μB per formula unit
VASP energy = -67.0 eV/cell

Cell and atoms, written as POSCAR:
```
ZrBeOs2
1.0
-1.999 1.999 8.538
1.999 -1.999 8.538
1.999 1.999 -8.538
Zr Be Os
2 2 4
direct
0.000 0.000 0.000
0.750 0.250 0.500
0.250 0.750 0.500
0.500 0.500 0.000
0.207 0.625 0.082
0.375 0.457 0.582
0.543 0.125 0.918
0.875 0.793 0.418
```

=====

Material: CaY4Hg
Method: DFT, GGA-PBE
State: optimized geometry

## Properties
Formation energy from the elements = 1.5 eV/f.u.
SG = F-43m
Total magnetization = 0.00 μB per formula unit
VASP energy = -26.7 eV/cell

Cell and atoms, written as POSCAR:
```
CaY4Hg
1.0
0.000 4.611 4.611
4.611 0.000 4.611
4.611 4.611 0.000
Ca Y Hg
1 4 1
direct
0.000 0.000 0.000
0.375 0.375 0.375
0.375 0.375 0.874
0.375 0.874 0.375
0.874 0.375 0.375
0.750 0.750 0.750
```

=====

Material: Hf4V
Method: DFT, GGA-PBE
State: optimized geometry

## Properties
Formation energy from the elements = 4.7 eV/f.u.
SG = Fd-3m
Total magnetization = 1.85 μB per formula unit
VASP energy = -88.5 eV/cell

Cell and atoms, written as POSCAR:
```
Hf4V
1.0
0.000 4.856 4.856
4.856 0.000 4.856
4.856 4.856 0.000
Hf V
8 2
direct
0.194 0.769 0.769
0.231 0.231 0.231
0.231 0.231 0.806
0.231 0.806 0.231
0.769 0.194 0.769
0.769 0.769 0.194
0.769 0.769 0.769
0.806 0.231 0.231
0.375 0.375 0.375
0.625 0.625 0.625
```

=====

Material: K8Rb3Pt
Method: DFT, GGA-PBE
State: optimized geometry

## Properties
Formation energy from the elements = 0.2 eV/f.u.
SG = P6_3mc
Total magnetization = 0.00 μB per formula unit
VASP energy = -35.0 eV/cell

Cell and atoms, written as POSCAR:
```
K8Rb3Pt
1.0
14.007 0.000 0.000
-7.003 12.130 0.000
0.000 0.000 9.392
K Rb Pt
16 6 2
direct
0.000 0.000 0.019
0.000 0.000 0.519
0.064 0.532 0.000
0.229 0.458 0.286
0.229 0.771 0.286
0.333 0.667 0.714
0.458 0.229 0.786
0.468 0.532 0.000
0.468 0.936 0.000
0.532 0.064 0.500
0.532 0.468 0.500
0.542 0.771 0.286
0.667 0.333 0.214
0.771 0.229 0.786
0.771 0.542 0.786
0.936 0.468 0.500
0.154 0.308 0.767
0.154 0.846 0.767
0.308 0.154 0.267
0.692 0.846 0.767
0.846 0.154 0.267
0.846 0.692 0.267
0.333 0.667 0.059
0.667 0.333 0.559
```

=====

Material: Er3Te2Pd
Method: DFT, GGA-PBE
State: optimized geometry

## Properties
SG = Fddd
Total magnetization = 0.00 μB per formula unit
VASP energy = -127.3 eV/cell

Cell and atoms, written as POSCAR:
```
Er3Te2Pd
1.0
0.000 6.050 12.593
4.343 0.000 12.593
4.343 6.050 0.000
Er Te Pd
12 8 4
direct
0.037 0.533 0.184
0.095 0.655 0.655
0.184 0.746 0.037
0.254 0.816 0.467
0.345 0.905 0.905
0.467 0.963 0.254
0.533 0.037 0.746
0.655 0.095 0.095
0.746 0.184 0.533
0.816 0.254 0.963
0.905 0.345 0.345
0.963 0.467 0.816
0.130 0.130 0.620
0.296 0.296 0.454
0.380 0.380 0.870
0.454 0.454 0.296
0.546 0.546 0.704
0.620 0.620 0.130
0.704 0.704 0.546
0.870 0.870 0.380
0.042 0.042 0.208
0.208 0.208 0.042
0.792 0.792 0.958
0.958 0.958 0.792
```

=====

Material: YMgPt2
Method: DFT, GGA-PBE
State: optimized geometry

## Properties
Formation energy from the elements = -3.2 eV/f.u.
SG = Pmm2
Total magnetization = 0.00 μB per formula unit
VASP energy = -23.3 eV/cell

Cell and atoms, written as POSCAR:
```
YMgPt2
1.0
3.653 0.000 0.000
0.000 3.857 0.000
0.000 0.000 5.731
Y Mg Pt
1 1 2
direct
0.000 0.000 0.000
0.500 0.500 0.353
0.000 0.000 0.491
0.500 0.500 0.822
```